Here is a geometry-optimized Nd12Tl4PbO3 structure from the Alexandria database. Energies are from PBE.

Structure (POSCAR):
```
Nd12Tl4PbO3
1.0
9.058 0.000 0.000
-3.019 8.540 0.000
-3.019 -4.270 7.396
Nd Tl Pb O
12 4 1 3
Direct
0.250 0.500 0.750 Nd
0.723 0.000 0.723 Nd
0.277 0.000 0.277 Nd
0.750 0.500 0.250 Nd
0.723 0.723 0.000 Nd
0.277 0.277 0.000 Nd
0.750 0.250 0.500 Nd
0.250 0.750 0.500 Nd
0.500 0.250 0.750 Nd
0.000 0.723 0.723 Nd
0.500 0.750 0.250 Nd
0.000 0.277 0.277 Nd
0.500 0.500 0.500 Tl
0.000 0.000 0.500 Tl
0.500 0.000 0.000 Tl
0.000 0.500 0.000 Tl
0.000 0.000 0.000 Pb
0.500 0.000 0.500 O
0.500 0.500 0.000 O
0.000 0.500 0.500 O
```

Values from the calculation:
crystal system = cubic
magnetic moment = 0.00 μB/cell
formation energy from raw total energies = -0.897 eV per atom